Entry 1:
{"formula": "Ba2NaPt2", "functional": "GGA-PBEsol", "state": "optimized geometry", "lattice_angstrom": [[8.209, 0.000, 0.000], [0.000, 8.209, 0.000], [0.000, 0.000, 4.334]], "species": ["Ba", "Ba", "Ba", "Ba", "Na", "Na", "Pt", "Pt", "Pt", "Pt"], "frac_coords": [[0.171, 0.329, 0.000], [0.329, 0.829, 0.000], [0.671, 0.171, 0.000], [0.829, 0.671, 0.000], [0.000, 0.000, 0.500], [0.500, 0.500, 0.500], [0.118, 0.618, 0.500], [0.382, 0.118, 0.500], [0.618, 0.882, 0.500], [0.882, 0.382, 0.500]], "formation_energy_kj_per_mol_atoms": -41.8, "total_energy_ev_per_atom": -4.36, "crystal_system": "tetragonal", "dos_at_fermi_per_ev_atom": 0.547, "space_group": "P4/mbm (127)"}



Entry 2:
{"formula": "BaNa2Pt2", "functional": "GGA-PBEsol", "state": "optimized geometry", "lattice_angstrom": [[4.356, 0.000, 0.000], [0.000, 4.356, 0.000], [0.000, 0.000, 13.063]], "species": ["Ba", "Ba", "Na", "Na", "Na", "Na", "Pt", "Pt", "Pt", "Pt"], "frac_coords": [[0.000, 0.000, 0.000], [0.500, 0.500, 0.500], [0.000, 0.500, 0.250], [0.000, 0.500, 0.750], [0.500, 0.000, 0.250], [0.500, 0.000, 0.750], [0.000, 0.000, 0.401], [0.000, 0.000, 0.599], [0.500, 0.500, 0.099], [0.500, 0.500, 0.901]], "formation_energy_kj_per_mol_atoms": -22.1, "total_energy_ev_per_atom": -4.00, "crystal_system": "tetragonal", "dos_at_fermi_per_ev_atom": 0.235, "space_group": "I4/mmm (139)"}



Entry 3:
{"formula": "RbBaNa2", "functional": "GGA-PBEsol", "state": "optimized geometry", "lattice_angstrom": [[9.436, 0.000, 0.000], [0.000, 9.436, 0.000], [0.000, 0.000, 9.436]], "species": ["Rb", "Rb", "Rb", "Rb", "Ba", "Ba", "Ba", "Ba", "Na", "Na", "Na", "Na", "Na", "Na", "Na", "Na"], "frac_coords": [[0.000, 0.000, 0.000], [0.000, 0.500, 0.500], [0.500, 0.000, 0.500], [0.500, 0.500, 0.000], [0.000, 0.000, 0.500], [0.000, 0.500, 0.000], [0.500, 0.000, 0.000], [0.500, 0.500, 0.500], [0.250, 0.250, 0.250], [0.250, 0.250, 0.750], [0.250, 0.750, 0.250], [0.250, 0.750, 0.750], [0.750, 0.250, 0.250], [0.750, 0.250, 0.750], [0.750, 0.750, 0.250], [0.750, 0.750, 0.750]], "formation_energy_kj_per_mol_atoms": 6.8, "total_energy_ev_per_atom": -1.42, "crystal_system": "cubic", "dos_at_fermi_per_ev_atom": 0.682, "space_group": "Fm-3m (225)"}



Entry 4:
{"formula": "Rb2BaNaTa", "functional": "GGA-PBEsol", "state": "optimized geometry", "lattice_angstrom": [[6.241, 0.000, 0.000], [0.000, 6.241, 0.000], [0.000, 0.000, 6.176]], "species": ["Rb", "Rb", "Ba", "Na", "Ta"], "frac_coords": [[0.000, 0.500, 0.000], [0.500, 0.000, 0.000], [0.000, 0.000, 0.500], [0.500, 0.500, 0.000], [0.500, 0.500, 0.500]], "formation_energy_kj_per_mol_atoms": 128.3, "total_energy_ev_per_atom": -2.30, "crystal_system": "tetragonal", "dos_at_fermi_per_ev_atom": 0.843, "space_group": "P4/mmm (123)"}



Entry 5:
{"formula": "BaNaRe2", "functional": "GGA-PBEsol", "state": "optimized geometry", "lattice_angstrom": [[6.800, 0.000, 0.000], [0.000, 6.800, 0.000], [0.000, 0.000, 6.800]], "species": ["Ba", "Ba", "Ba", "Ba", "Na", "Na", "Na", "Na", "Re", "Re", "Re", "Re", "Re", "Re", "Re", "Re"], "frac_coords": [[0.000, 0.000, 0.000], [0.000, 0.500, 0.500], [0.500, 0.000, 0.500], [0.500, 0.500, 0.000], [0.000, 0.000, 0.500], [0.000, 0.500, 0.000], [0.500, 0.000, 0.000], [0.500, 0.500, 0.500], [0.250, 0.250, 0.250], [0.250, 0.250, 0.750], [0.250, 0.750, 0.250], [0.250, 0.750, 0.750], [0.750, 0.250, 0.250], [0.750, 0.250, 0.750], [0.750, 0.750, 0.250], [0.750, 0.750, 0.750]], "formation_energy_kj_per_mol_atoms": 214.2, "total_energy_ev_per_atom": -5.33, "crystal_system": "cubic", "dos_at_fermi_per_ev_atom": 1.408, "space_group": "Fm-3m (225)"}



Entry 6:
{"formula": "Ba2NaRh", "functional": "GGA-PBEsol", "state": "optimized geometry", "lattice_angstrom": [[7.866, 0.000, 0.000], [0.000, 7.866, 0.000], [0.000, 0.000, 7.866]], "species": ["Ba", "Ba", "Ba", "Ba", "Ba", "Ba", "Ba", "Ba", "Na", "Na", "Na", "Na", "Rh", "Rh", "Rh", "Rh"], "frac_coords": [[0.250, 0.250, 0.250], [0.250, 0.250, 0.750], [0.250, 0.750, 0.250], [0.250, 0.750, 0.750], [0.750, 0.250, 0.250], [0.750, 0.250, 0.750], [0.750, 0.750, 0.250], [0.750, 0.750, 0.750], [0.000, 0.000, 0.000], [0.000, 0.500, 0.500], [0.500, 0.000, 0.500], [0.500, 0.500, 0.000], [0.000, 0.000, 0.500], [0.000, 0.500, 0.000], [0.500, 0.000, 0.000], [0.500, 0.500, 0.500]], "formation_energy_kj_per_mol_atoms": 8.5, "total_energy_ev_per_atom": -3.37, "crystal_system": "cubic", "dos_at_fermi_per_ev_atom": 0.377, "space_group": "Fm-3m (225)"}



Entry 7:
{"formula": "Ba3NaRh", "functional": "GGA-PBEsol", "state": "optimized geometry", "lattice_angstrom": [[6.046, 0.000, 0.000], [0.000, 6.046, 0.000], [0.000, 0.000, 6.046]], "species": ["Ba", "Ba", "Ba", "Na", "Rh"], "frac_coords": [[0.000, 0.000, 0.500], [0.000, 0.500, 0.000], [0.500, 0.000, 0.000], [0.500, 0.500, 0.500], [0.000, 0.000, 0.000]], "formation_energy_kj_per_mol_atoms": -8.2, "total_energy_ev_per_atom": -3.28, "crystal_system": "cubic", "dos_at_fermi_per_ev_atom": 0.879, "space_group": "Pm-3m (221)"}



Entry 8:
{"formula": "BaNaRu2", "functional": "GGA-PBEsol", "state": "optimized geometry", "lattice_angstrom": [[6.824, 0.000, 0.000], [0.000, 6.824, 0.000], [0.000, 0.000, 6.824]], "species": ["Ba", "Ba", "Ba", "Ba", "Na", "Na", "Na", "Na", "Ru", "Ru", "Ru", "Ru", "Ru", "Ru", "Ru", "Ru"], "frac_coords": [[0.000, 0.000, 0.000], [0.000, 0.500, 0.500], [0.500, 0.000, 0.500], [0.500, 0.500, 0.000], [0.000, 0.000, 0.500], [0.000, 0.500, 0.000], [0.500, 0.000, 0.000], [0.500, 0.500, 0.500], [0.250, 0.250, 0.250], [0.250, 0.250, 0.750], [0.250, 0.750, 0.250], [0.250, 0.750, 0.750], [0.750, 0.250, 0.250], [0.750, 0.250, 0.750], [0.750, 0.750, 0.250], [0.750, 0.750, 0.750]], "formation_energy_kj_per_mol_atoms": 130.3, "total_energy_ev_per_atom": -4.62, "crystal_system": "cubic", "dos_at_fermi_per_ev_atom": 1.462, "space_group": "Fm-3m (225)"}



Entry 9:
{"formula": "BaNa2ScRu", "functional": "GGA-PBEsol", "state": "optimized geometry", "lattice_angstrom": [[5.322, 0.000, 0.000], [0.000, 5.322, 0.000], [0.000, 0.000, 5.442]], "species": ["Ba", "Na", "Na", "Sc", "Ru"], "frac_coords": [[0.000, 0.000, 0.000], [0.000, 0.500, 0.000], [0.500, 0.000, 0.000], [0.000, 0.000, 0.500], [0.500, 0.500, 0.500]], "formation_energy_kj_per_mol_atoms": 190.3, "total_energy_ev_per_atom": -2.37, "crystal_system": "tetragonal", "dos_at_fermi_per_ev_atom": 0.966, "space_group": "P4/mmm (123)"}



Entry 10:
{"formula": "BaNa2S", "functional": "GGA-PBEsol", "state": "optimized geometry", "lattice_angstrom": [[8.271, 0.000, 0.000], [0.000, 8.271, 0.000], [0.000, 0.000, 11.528]], "species": ["Ba", "Ba", "Ba", "Ba", "Na", "Na", "Na", "Na", "Na", "Na", "Na", "Na", "S", "S", "S", "S"], "frac_coords": [[0.000, 0.000, 0.000], [0.000, 0.500, 0.250], [0.500, 0.000, 0.750], [0.500, 0.500, 0.500], [0.024, 0.250, 0.625], [0.250, 0.524, 0.875], [0.250, 0.976, 0.375], [0.476, 0.250, 0.125], [0.524, 0.750, 0.125], [0.750, 0.024, 0.375], [0.750, 0.476, 0.875], [0.976, 0.750, 0.625], [0.000, 0.000, 0.500], [0.000, 0.500, 0.750], [0.500, 0.000, 0.250], [0.500, 0.500, 0.000]], "total_energy_ev_per_atom": -2.66, "crystal_system": "tetragonal", "dos_at_fermi_per_ev_atom": 0.345, "raw_formation_energy_mev_per_atom": -330, "space_group": "I-42d (122)"}



Entry 11:
{"formula": "Ba3NaS", "functional": "GGA-PBEsol", "state": "optimized geometry", "lattice_angstrom": [[6.199, 0.000, 0.000], [0.000, 6.199, 0.000], [0.000, 0.000, 6.199]], "species": ["Ba", "Ba", "Ba", "Na", "S"], "frac_coords": [[0.000, 0.000, 0.500], [0.000, 0.500, 0.000], [0.500, 0.000, 0.000], [0.500, 0.500, 0.500], [0.000, 0.000, 0.000]], "total_energy_ev_per_atom": -3.19, "crystal_system": "cubic", "dos_at_fermi_per_ev_atom": 1.491, "raw_formation_energy_mev_per_atom": -743, "space_group": "Pm-3m (221)"}



Entry 12:
{"formula": "BaNaVS4", "functional": "GGA-PBEsol", "state": "optimized geometry", "lattice_angstrom": [[6.404, 0.000, 0.000], [0.000, 9.420, 0.000], [-3.898, 0.000, 11.326]], "species": ["Ba", "Ba", "Ba", "Ba", "Na", "Na", "Na", "Na", "V", "V", "V", "V", "S", "S", "S", "S", "S", "S", "S", "S", "S", "S", "S", "S", "S", "S", "S", "S"], "frac_coords": [[0.123, 0.116, 0.344], [0.123, 0.384, 0.844], [0.877, 0.616, 0.156], [0.877, 0.884, 0.656], [0.279, 0.629, 0.519], [0.279, 0.871, 0.019], [0.721, 0.129, 0.981], [0.721, 0.371, 0.481], [0.380, 0.118, 0.684], [0.380, 0.382, 0.184], [0.620, 0.618, 0.816], [0.620, 0.882, 0.316], [0.182, 0.209, 0.090], [0.182, 0.291, 0.590], [0.280, 0.671, 0.766], [0.280, 0.829, 0.266], [0.284, 0.067, 0.836], [0.284, 0.433, 0.336], [0.323, 0.567, 0.077], [0.323, 0.933, 0.577], [0.677, 0.067, 0.423], [0.677, 0.433, 0.923], [0.716, 0.567, 0.664], [0.716, 0.933, 0.164], [0.720, 0.171, 0.734], [0.720, 0.329, 0.234], [0.818, 0.709, 0.410], [0.818, 0.791, 0.910]], "total_energy_ev_per_atom": -5.70, "crystal_system": "monoclinic", "raw_formation_energy_mev_per_atom": -1312, "space_group": "P2_1/c (14)"}